1.
A plane-wave DFT calculation with PBE was carried out for an optimized crystal structure of TlTeMo2.

Cell: 5.5357 5.5357 5.5357 Å, 145.59 121.30 69.85°
Closest atoms and distances in Å follow each position.
Fractional coordinates of all 4 atoms:
1 Tl 0.0000 0.0000 0.0000  4 Mo 2.92, 4 Te 3.17
2 Te 0.5000 0.5000 0.0000  4 Mo 2.68
3 Mo 0.2667 0.7667 0.5000  2 Te 2.68, 2 Tl 2.92
4 Mo 0.7333 0.2333 0.5000  2 Te 2.68, 2 Tl 2.92

## Properties
Theoretical density: 10.78 g cm⁻³
Polymorph energy (0 for the lowest one): 578.6 meV/atom
E_form (uncorrected): 83.3 kJ/mol of atoms

***

2.
A plane-wave DFT calculation with PBE was carried out for an optimized crystal structure of TlTeMo2.

Cell: 3.0503 3.0503 10.4718 Å, 90.00 90.00 112.44°
Closest atoms and distances in Å follow each position.
Fractional coordinates of all 4 atoms:
1 Tl 0.0000 0.0000 0.0000  6 Tl 3.05-3.39, 2 Mo 3.14
2 Te 0.5000 0.5000 0.3437  2 Mo 2.92, 4 Te 3.05
3 Mo 0.0000 0.0000 0.5702  2 Mo 2.52
4 Mo 0.5000 0.5000 0.7476  2 Mo 2.52

## Properties
Theoretical density: 9.66 g cm⁻³
Polymorph energy (0 for the lowest one): 176.5 meV/atom
E_form (uncorrected): 44.5 kJ/mol of atoms

***

3.
A plane-wave DFT calculation with PBE was carried out for an optimized crystal structure of TlTeMo2.

Cell: 9.0478 9.0478 9.0478 Å, 20.24 20.24 20.24°
Closest atoms and distances in Å follow each position.
Fractional coordinates of all 4 atoms:
1 Tl 0.0000 0.0000 0.0000  6 Mo 2.98, 6 Tl 3.18
2 Te 0.5000 0.5000 0.5000  6 Mo 2.78
3 Mo 0.2451 0.2451 0.2451  3 Te 2.78, 3 Tl 2.98
4 Mo 0.7549 0.7549 0.7549  3 Te 2.78, 3 Tl 2.98

## Properties
Theoretical density: 11.21 g cm⁻³
Polymorph energy (0 for the lowest one): 368.8 meV/atom
E_form (uncorrected): 63.0 kJ/mol of atoms

***

4.
A plane-wave DFT calculation with PBE was carried out for an optimized crystal structure of TlTe2Mo.

Cell: 3.7895 4.5408 8.0122 Å, 90.00 103.55 90.00°
Closest atoms and distances in Å follow each position.
Fractional coordinates of all 4 atoms:
1 Tl 0.0000 0.0000 0.0000  6 Te 3.41-3.53, 2 Tl 3.79
2 Te 0.3926 0.5000 0.7832  2 Mo 2.66
3 Te 0.6905 0.0000 0.3827  2 Mo 2.60
4 Mo 0.7744 0.5000 0.5443  4 Te 2.60-2.66

## Properties
Theoretical density: 6.88 g cm⁻³
E_form (uncorrected): 22.2 kJ/mol of atoms

***

5.
A plane-wave DFT calculation with PBE was carried out for an optimized crystal structure of Tl2TeMo.

Cell: 11.9875 11.9875 11.9875 Å, 15.04 15.04 15.04°
Closest atoms and distances in Å follow each position.
Fractional coordinates of all 4 atoms:
1 Tl 0.2362 0.2362 0.2362  3 Mo 3.06, 6 Tl 3.14
2 Tl 0.7638 0.7638 0.7638  3 Mo 3.06, 6 Tl 3.14
3 Te 0.0000 0.0000 0.0000  6 Te 3.14
4 Mo 0.5000 0.5000 0.5000  6 Tl 3.06, 6 Mo 3.14

## Properties
Theoretical density: 10.39 g cm⁻³
Polymorph energy (0 for the lowest one): 466.1 meV/atom
E_form (uncorrected): 65.1 kJ/mol of atoms

***

6.
A plane-wave DFT calculation with PBE was carried out for an optimized crystal structure of TlTeMo2.

Cell: 3.3029 4.7761 5.4711 Å, 90.00 103.55 90.00°
Closest atoms and distances in Å follow each position.
Fractional coordinates of all 4 atoms:
1 Tl 0.0000 0.0000 0.0000  4 Mo 2.76-3.07
2 Te 0.4610 0.5000 0.7093  4 Mo 2.65-2.80
3 Mo 0.5560 0.0000 0.4623  2 Mo 2.74, 2 Tl 2.76-2.96, 2 Te 2.80
4 Mo 0.8212 0.5000 0.3119  2 Te 2.65-2.71, 2 Mo 2.74

## Properties
Theoretical density: 10.37 g cm⁻³
Polymorph energy (0 for the lowest one): 340.9 meV/atom
E_form (uncorrected): 60.3 kJ/mol of atoms

***

7.
A plane-wave DFT calculation with PBE was carried out for an optimized crystal structure of Tl2TeMo.

Cell: 8.0607 8.0607 8.0607 Å, 157.04 147.86 39.87°
Closest atoms and distances in Å follow each position.
Fractional coordinates of all 4 atoms:
1 Tl 0.1819 0.1819 0.0000  2 Mo 3.19, 6 Tl 3.21-3.44, 2 Te 3.55
2 Tl 0.8181 0.8181 0.0000  2 Mo 3.19, 6 Tl 3.21-3.44, 2 Te 3.55
3 Te 0.5000 0.0000 0.5000  4 Mo 2.75
4 Mo 0.0000 0.5000 0.5000  4 Te 2.75

## Properties
Theoretical density: 9.67 g cm⁻³
Polymorph energy (0 for the lowest one): 186.6 meV/atom
E_form (uncorrected): 38.1 kJ/mol of atoms

***

8.
A plane-wave DFT calculation with PBE was carried out for an optimized crystal structure of Tl2TeMo.

Cell: 5.4770 5.4770 5.4770 Å, 126.67 126.67 78.80°
Closest atoms and distances in Å follow each position.
Fractional coordinates of all 4 atoms:
1 Tl 0.0000 0.0000 0.0000  4 Tl 3.24, 4 Mo 3.24, 4 Te 3.48
2 Tl 0.7500 0.2500 0.5000  4 Te 3.24, 4 Tl 3.24, 4 Mo 3.48
3 Te 0.5000 0.5000 0.0000  8 Tl 3.24-3.48, 4 Mo 3.24
4 Mo 0.2500 0.7500 0.5000  4 Te 3.24, 8 Tl 3.24-3.48

## Properties
Theoretical density: 10.26 g cm⁻³
Polymorph energy (0 for the lowest one): 479.9 meV/atom
E_form (uncorrected): 66.4 kJ/mol of atoms

***

9.
A plane-wave DFT calculation with PBE was carried out for an optimized crystal structure of TlTeMo2.

Cell: 3.1476 3.1476 9.0694 Å, 90.00 90.00 117.05°
Closest atoms and distances in Å follow each position.
Fractional coordinates of all 4 atoms:
1 Tl 0.0000 0.0000 0.0000  4 Mo 2.91, 4 Tl 3.15
2 Te 0.0000 0.0000 0.5000  4 Mo 2.69
3 Mo 0.5000 0.5000 0.2651  2 Te 2.69, 2 Tl 2.91
4 Mo 0.5000 0.5000 0.7349  2 Te 2.69, 2 Tl 2.91

## Properties
Theoretical density: 10.87 g cm⁻³
Polymorph energy (0 for the lowest one): 587.3 meV/atom
E_form (uncorrected): 84.1 kJ/mol of atoms

***

10.
A plane-wave DFT calculation with PBE was carried out for an optimized crystal structure of TlTeMo.

Cell: 4.9554 4.9554 3.1377 Å, 90.00 90.00 120.00°
Closest atoms and distances in Å follow each position.
Fractional coordinates of all 3 atoms:
1 Tl 0.0000 0.0000 0.0000  2 Tl 3.14, 6 Mo 3.26, 6 Te 3.26
2 Te 0.3333 0.6667 0.5000  3 Mo 2.86, 2 Te 3.14
3 Mo 0.6667 0.3333 0.5000  3 Te 2.86, 2 Mo 3.14

## Properties
Theoretical density: 10.65 g cm⁻³
Polymorph energy (0 for the lowest one): 425.5 meV/atom
E_form (uncorrected): 67.4 kJ/mol of atoms

***

11.
A plane-wave DFT calculation with PBE was carried out for an optimized crystal structure of TlTe2Mo.

Cell: 3.3344 3.3344 9.3808 Å, 90.00 90.00 90.00°
Closest atoms and distances in Å follow each position.
Fractional coordinates of all 4 atoms:
1 Tl 0.0000 0.0000 0.0000  4 Tl 3.33
2 Te 0.5000 0.5000 0.3239  4 Mo 2.88
3 Te 0.5000 0.5000 0.6761  4 Mo 2.88
4 Mo 0.0000 0.0000 0.5000  8 Te 2.88

## Properties
Theoretical density: 8.84 g cm⁻³
E_form (uncorrected): -1.8 kJ/mol of atoms

***

12.
A plane-wave DFT calculation with PBE was carried out for an optimized crystal structure of Tm6Te2Mo.

Cell: 8.1568 8.1568 4.1892 Å, 90.00 90.00 120.00°
Closest atoms and distances in Å follow each position.
Fractional coordinates of all 9 atoms:
1 Tm 0.0000 0.2379 0.0000  2 Mo 2.86, 2 Te 3.18
2 Tm 0.0000 0.6129 0.5000  1 Mo 3.16, 4 Te 3.28, 4 Tm 3.46
3 Tm 0.2379 0.0000 0.0000  2 Mo 2.86, 2 Te 3.18
4 Tm 0.3871 0.3871 0.5000  1 Mo 3.16, 4 Te 3.28, 4 Tm 3.46
5 Tm 0.6129 0.0000 0.5000  1 Mo 3.16, 4 Te 3.28, 4 Tm 3.46
6 Tm 0.7621 0.7621 0.0000  2 Mo 2.86, 2 Te 3.18
7 Te 0.3333 0.6667 0.0000  9 Tm 3.18-3.28
8 Te 0.6667 0.3333 0.0000  9 Tm 3.18-3.28
9 Mo 0.0000 0.0000 0.5000  9 Tm 2.86-3.16

## Properties
Theoretical density: 9.39 g cm⁻³
E_form (uncorrected): -54.7 kJ/mol of atoms